Entry from the Alexandria database: a relaxed structure of YNi4Se (GGA-PBE).

The structure belongs to space group F-43m (No. 216); the cell edges are 7.0352, 7.0352 and 7.0352 Å and the angles 90.00°, 90.00° and 90.00°. The distinct sites, in fractional coordinates, are Y at (0.0000, 0.0000, 0.0000), Ni at (0.1255, 0.1255, 0.6255) and Se at (0.2500, 0.2500, 0.2500).

The calculation puts the magnetization at 1.60 μB per formula unit. The value obtained for the raw formation energy is -0.23 eV per atom. As for the density: 7.68 g/cm3.

Entry from the Alexandria database: a relaxed structure of YNi3Se (GGA-PBE).

The structure belongs to space group Pm-3m (No. 221); the cell edges are 4.7176, 4.7176 and 4.7176 Å and the angles 90.00°, 90.00° and 90.00°. The distinct sites, in fractional coordinates, are Y at (0.0000, 0.0000, 0.0000), Ni at (0.0000, 0.0000, 0.5000) and Se at (0.5000, 0.5000, 0.5000).

The calculation puts the magnetization at 0.00 μB per formula unit. The value obtained for the raw formation energy is 1.29 eV per atom. As for the density: 5.44 g/cm3.

Entry from the Alexandria database: a relaxed structure of Y2NiSe (GGA-PBE).

The structure belongs to space group R3m (No. 160, hexagonal axes); the cell edges are 3.9590, 3.9590 and 20.9390 Å and the angles 90.00°, 90.00° and 120.00°. The distinct sites, in fractional coordinates, are Y at (0.0000, 0.0000, 0.0000), Y at (0.0000, 0.0000, 0.1873), Ni at (0.0000, 0.0000, 0.5929) and Se at (0.0000, 0.0000, 0.4268).

The calculation puts the magnetization at 0.00 μB per formula unit. The value obtained for the raw formation energy is -1.00 eV per atom. As for the density: 5.53 g/cm3.

Entry from the Alexandria database: a relaxed structure of Y2NiSe (GGA-PBE).

The structure belongs to space group Imm2 (No. 44); the cell edges are 3.7114, 4.1885 and 11.2359 Å and the angles 90.00°, 90.00° and 90.00°. The distinct sites, in fractional coordinates, are Y at (0.0000, 0.0000, 0.0000), Y at (0.0000, 0.5000, 0.2334), Ni at (0.0000, 0.0000, 0.4832) and Se at (0.0000, 0.5000, 0.8090).

The calculation puts the magnetization at 0.00 μB per formula unit. The value obtained for the raw formation energy is -0.73 eV per atom. As for the density: 6.00 g/cm3.

Entry from the Alexandria database: a relaxed structure of YNi2Se2 (GGA-PBE).

The structure belongs to space group I4/mmm (No. 139); the cell edges are 3.7903, 3.7903 and 11.8870 Å and the angles 90.00°, 90.00° and 90.00°. The distinct sites, in fractional coordinates, are Y at (0.0000, 0.0000, 0.0000), Ni at (0.0000, 0.5000, 0.2500) and Se at (0.0000, 0.0000, 0.3728).

The calculation puts the magnetization at 0.00 μB per formula unit. The value obtained for the raw formation energy is -0.71 eV per atom. As for the density: 7.08 g/cm3.

Entry from the Alexandria database: a relaxed structure of YNi3Se (GGA-PBE).

The structure belongs to space group Pm-3m (No. 221); the cell edges are 4.4136, 4.4136 and 4.4136 Å and the angles 90.00°, 90.00° and 90.00°. The distinct sites, in fractional coordinates, are Y at (0.0000, 0.0000, 0.0000), Ni at (0.0000, 0.5000, 0.5000) and Se at (0.5000, 0.5000, 0.5000).

The calculation puts the magnetization at 0.00 μB per formula unit. The value obtained for the raw formation energy is -0.13 eV per atom. As for the density: 6.64 g/cm3.

Entry from the Alexandria database: a relaxed structure of Y2NiSe (GGA-PBE).

The structure belongs to space group F-43m (No. 216); the cell edges are 6.9915, 6.9915 and 6.9915 Å and the angles 90.00°, 90.00° and 90.00°. The distinct sites, in fractional coordinates, are Y at (0.0000, 0.0000, 0.0000), Y at (0.2500, 0.2500, 0.2500), Ni at (0.2500, 0.2500, 0.7500) and Se at (0.0000, 0.0000, 0.5000).

The calculation puts the magnetization at 0.00 μB per formula unit. The value obtained for the raw formation energy is 0.00 eV per atom. As for the density: 6.13 g/cm3.

Entry from the Alexandria database: a relaxed structure of Y6NiSe5 (GGA-PBE).

The structure belongs to space group C2/m (No. 12); the cell edges are 7.0986, 12.2700 and 7.0783 Å and the angles 90.00°, 109.69° and 90.00°. The distinct sites, in fractional coordinates, are Y at (0.2329, 0.0000, 0.2599), Y at (0.2326, 0.1563, 0.7340), Ni at (0.0000, 0.0000, 0.5000), Se at (0.0000, 0.1766, 0.0000), Se at (0.0000, 0.3349, 0.5000) and Se at (0.0000, 0.5000, 0.0000).

The calculation puts the magnetization at 0.00 μB per formula unit. The value obtained for the raw formation energy is -1.58 eV per atom. As for the density: 5.65 g/cm3.

Entry from the Alexandria database: a relaxed structure of Y2NiSe (GGA-PBE).

The structure belongs to space group Cmcm (No. 63); the cell edges are 3.9274, 22.1897 and 4.1322 Å and the angles 90.00°, 90.00° and 90.00°. The distinct sites, in fractional coordinates, are Y at (0.0000, 0.0623, 0.2500), Y at (0.0000, 0.3255, 0.2500), Ni at (0.0000, 0.4660, 0.2500) and Se at (0.0000, 0.1933, 0.2500).

The calculation puts the magnetization at 0.00 μB per formula unit. The value obtained for the raw formation energy is -1.09 eV per atom. As for the density: 5.82 g/cm3.

Entry from the Alexandria database: a relaxed structure of Y2Ni2Se (GGA-PBE).

The structure belongs to space group R-3m (No. 166, hexagonal axes); the cell edges are 3.9732, 3.9732 and 22.5935 Å and the angles 90.00°, 90.00° and 120.00°. The distinct sites, in fractional coordinates, are Y at (0.0000, 0.0000, 0.0826), Ni at (0.0000, 0.0000, 0.3306) and Se at (0.0000, 0.0000, 0.5000).

The calculation puts the magnetization at 0.28 μB per formula unit. The value obtained for the raw formation energy is -0.98 eV per atom. As for the density: 6.03 g/cm3.

Entry from the Alexandria database: a relaxed structure of Y2NiSe (GGA-PBE).

The structure belongs to space group C2/m (No. 12); the cell edges are 6.7911, 3.9272 and 7.3711 Å and the angles 90.00°, 108.00° and 90.00°. The distinct sites, in fractional coordinates, are Y at (0.2423, 0.0000, 0.2277), Ni at (0.0000, 0.5000, 0.0000) and Se at (0.0000, 0.0000, 0.5000).

The calculation puts the magnetization at 0.00 μB per formula unit. The value obtained for the raw formation energy is -1.02 eV per atom. As for the density: 5.60 g/cm3.

Entry from the Alexandria database: a relaxed structure of ZnNiSe2 (GGA-PBE).

The structure belongs to space group F-43m (No. 216); the cell edges are 6.4727, 6.4727 and 6.4727 Å and the angles 90.00°, 90.00° and 90.00°. The distinct sites, in fractional coordinates, are Zn at (0.0000, 0.0000, 0.0000), Ni at (0.2500, 0.2500, 0.7500), Se at (0.0000, 0.0000, 0.5000) and Se at (0.2500, 0.2500, 0.2500).

The calculation puts the magnetization at 0.00 μB per formula unit. The value obtained for the raw formation energy is 0.46 eV per atom. As for the density: 6.91 g/cm3.

Entry from the Alexandria database: a relaxed structure of ZnNiSe2 (GGA-PBE).

The structure belongs to space group R3m (No. 160, hexagonal axes); the cell edges are 3.7441, 3.7441 and 19.0818 Å and the angles 90.00°, 90.00° and 120.00°. The distinct sites, in fractional coordinates, are Zn at (0.0000, 0.0000, 0.0000), Ni at (0.0000, 0.0000, 0.7518), Se at (0.0000, 0.0000, 0.2739) and Se at (0.0000, 0.0000, 0.4657).

The calculation puts the magnetization at 0.00 μB per formula unit. The value obtained for the raw formation energy is -0.14 eV per atom. As for the density: 6.06 g/cm3.

Entry from the Alexandria database: a relaxed structure of ZnNiSe2 (GGA-PBE).

The structure belongs to space group Pmmm (No. 47); the cell edges are 2.7755, 3.3009 and 7.6424 Å and the angles 90.00°, 90.00° and 90.00°. The distinct sites, in fractional coordinates, are Zn at (0.0000, 0.0000, 0.0000), Ni at (0.0000, 0.0000, 0.5000) and Se at (0.5000, 0.5000, 0.2946).

The calculation puts the magnetization at 0.00 μB per formula unit. The value obtained for the raw formation energy is 0.19 eV per atom. As for the density: 6.69 g/cm3.

Entry from the Alexandria database: a relaxed structure of Zn2NiSe (GGA-PBE).

The structure belongs to space group P4mm (No. 99); the cell edges are 2.8921, 2.8921 and 7.5534 Å and the angles 90.00°, 90.00° and 90.00°. The distinct sites, in fractional coordinates, are Zn at (0.0000, 0.0000, 0.0000), Zn at (0.5000, 0.5000, 0.2465), Ni at (0.0000, 0.0000, 0.4631) and Se at (0.5000, 0.5000, 0.6575).

The calculation puts the magnetization at 0.00 μB per formula unit. The value obtained for the raw formation energy is 0.06 eV per atom. As for the density: 7.06 g/cm3.

Entry from the Alexandria database: a relaxed structure of ZnNiSe2 (GGA-PBE).

The structure belongs to space group Pmmm (No. 47); the cell edges are 3.4598, 3.4742 and 8.1639 Å and the angles 90.00°, 90.00° and 90.00°. The distinct sites, in fractional coordinates, are Zn at (0.0000, 0.0000, 0.0000), Ni at (0.0000, 0.5000, 0.5000), Se at (0.5000, 0.0000, 0.5000) and Se at (0.5000, 0.5000, 0.0000).

The calculation puts the magnetization at 0.90 μB per formula unit. The value obtained for the raw formation energy is 0.07 eV per atom. As for the density: 4.77 g/cm3.

Entry from the Alexandria database: a relaxed structure of ZnNiSe2 (GGA-PBE).

The structure belongs to space group Cmmm (No. 65); the cell edges are 5.7376, 6.9122 and 3.3807 Å and the angles 90.00°, 90.00° and 90.00°. The distinct sites, in fractional coordinates, are Zn at (0.0000, 0.0000, 0.0000), Ni at (0.0000, 0.5000, 0.0000) and Se at (0.2500, 0.2500, 0.5000).

The calculation puts the magnetization at 0.00 μB per formula unit. The value obtained for the raw formation energy is 0.23 eV per atom. As for the density: 6.99 g/cm3.

Entry from the Alexandria database: a relaxed structure of ZnNiSe2 (GGA-PBE).

The structure belongs to space group P4/mmm (No. 123); the cell edges are 3.6611, 3.6611 and 5.1717 Å and the angles 90.00°, 90.00° and 90.00°. The distinct sites, in fractional coordinates, are Zn at (0.0000, 0.0000, 0.0000), Ni at (0.5000, 0.5000, 0.5000), Se at (0.0000, 0.0000, 0.5000) and Se at (0.5000, 0.5000, 0.0000).

The calculation puts the magnetization at 0.00 μB per formula unit. The value obtained for the raw formation energy is -0.22 eV per atom. As for the density: 6.76 g/cm3.

Entry from the Alexandria database: a relaxed structure of ZnNiSe (GGA-PBE).

The structure belongs to space group P3m1 (No. 156); the cell edges are 3.8908, 3.8908 and 3.8786 Å and the angles 90.00°, 90.00° and 120.00°. The distinct sites, in fractional coordinates, are Zn at (0.0000, 0.0000, 0.0000), Ni at (0.6667, 0.3333, 0.3329) and Se at (0.3333, 0.6667, 0.4869).

The calculation puts the magnetization at 0.00 μB per formula unit. The value obtained for the raw formation energy is -0.01 eV per atom. As for the density: 6.63 g/cm3.

Entry from the Alexandria database: a relaxed structure of ZnNiSe (GGA-PBE).

The structure belongs to space group I4mm (No. 107); the cell edges are 3.4027, 3.4027 and 7.7655 Å and the angles 90.00°, 90.00° and 90.00°. The distinct sites, in fractional coordinates, are Zn at (0.0000, 0.0000, 0.0000), Ni at (0.0000, 0.0000, 0.3388) and Se at (0.0000, 0.0000, 0.6696).

The calculation puts the magnetization at 0.00 μB per formula unit. The value obtained for the raw formation energy is 0.05 eV per atom. As for the density: 7.50 g/cm3.